Material: HoTm4Sc8
Method: DFT, PBE
State: relaxed

The value obtained for the energy of formation from the pure elements is 591 meV/atom. For the calculated volume, the calculation gives 30.3 A^3/atom. The value obtained for the density is 5.1 g cm⁻³. The calculation puts the magnetization at 0.046 μB per atom.

Cell lengths 10.3697, 10.3697, 12.6738 Å; angles 90.00, 90.00, 120.00 degrees
Space group R-3m (No. 166, hexagonal axes)
Inequivalent atoms, fractional coordinates:
Ho 0.0000 0.0000 0.0000
Tm 0.0000 0.0000 0.5000
Tm 0.0000 0.5000 0.5000
Sc 0.0000 0.0000 0.2595
Sc 0.0124 0.5062 0.2464